Record 1
Density functional theory data (PBE) for a relaxed structure of La3GeI2.

```
12
Lattice="4.4653 0.0000 0.0000 0.0000 6.3586 0.0000 0.0000 0.0000 14.1714" Properties=species:S:1:pos:R:3 pbc="T T T"
La 0.0000 0.0000 0.0000
La 0.0000 0.0000 5.1190
La 0.0000 0.0000 9.0524
La 2.2327 3.1793 1.9667
La 2.2327 3.1793 7.0857
La 2.2327 3.1793 12.2047
Ge 0.0000 3.1793 0.0000
Ge 2.2327 0.0000 7.0857
I 0.0000 3.1793 4.6009
I 0.0000 3.1793 9.5705
I 2.2327 0.0000 2.4848
I 2.2327 0.0000 11.6866
```

Summary:
Space group ... Immm (71)
Distance to the lowest polymorph of the same formula ... 0.0241 eV per atom
E_form (uncorrected) ... -1050 meV/atom


Record 2
Density functional theory data (PBE) for a relaxed structure of HoURu2.

```
4
Lattice="3.3914 0.0000 0.0000 0.0000 3.3914 0.0000 0.0000 0.0000 6.7984" Properties=species:S:1:pos:R:3 pbc="T T T"
Ho 0.0000 0.0000 0.0000
U 0.0000 0.0000 3.3992
Ru 1.6957 1.6957 1.8980
Ru 1.6957 1.6957 4.9004
```

Summary:
DFT formation energy ... -356 meV per atom
Space group ... P4/mmm (123)


Record 3
Density functional theory data (PBE) for a relaxed structure of Na2Gd2B2O7.

```
52
Lattice="10.7500 0.0000 0.0000 0.0000 6.3647 0.0000 -4.8573 0.0000 9.2286" Properties=species:S:1:pos:R:3 pbc="T T T"
Na -1.0092 0.3693 2.3926
Na -3.4378 2.8131 7.0069
Na 0.9545 4.6198 0.4475
Na -1.4742 4.9273 5.0618
Na 7.3668 1.4374 4.1668
Na 4.9382 1.7450 8.7811
Na 9.3305 3.5517 2.2217
Na 6.9019 5.9954 6.8360
Gd -1.0447 0.5208 8.4214
Gd 1.3840 2.6615 3.8071
Gd 4.3126 3.4495 1.6768
Gd 1.8840 6.0976 6.2911
Gd 4.0087 0.2672 2.9375
Gd 1.5800 2.9152 7.5518
Gd 4.5087 3.7032 5.4215
Gd 6.9374 5.8439 0.8072
B -0.8540 1.5724 5.3479
B 1.5747 1.6100 0.7336
B -1.0074 4.1526 7.8526
B 1.4213 5.3945 3.2383
B 4.4714 0.9702 5.9903
B 6.9000 2.2121 1.3760
B 4.3180 4.7547 8.4950
B 6.7466 4.7924 3.8807
O -3.4999 1.0808 8.7067
O -1.0712 2.1016 4.0924
O -1.8213 0.9423 6.1007
O 0.6074 2.2400 1.4864
O -2.2332 4.7373 7.9982
O 0.1955 4.8098 3.3839
O 2.9028 1.5028 1.2268
O 0.4741 1.6796 5.8411
O 2.4181 4.7390 2.4968
O -0.0106 4.8081 7.1111
O 1.7545 0.2557 3.8106
O -0.6741 2.9267 8.4249
O 2.1999 3.9605 5.5170
O 4.6286 5.5866 0.9027
O 1.2641 0.7781 8.3259
O 3.6928 2.4043 3.7116
O 6.5668 3.4381 0.8037
O 4.1381 6.1090 5.4180
O 5.9033 1.5567 2.1175
O 3.4746 1.6257 6.7318
O 5.4185 4.6852 3.3875
O 2.9899 4.8619 8.0018
O 5.6972 1.5549 5.8447
O 8.1259 1.6274 1.2304
O 5.2853 4.1247 7.7422
O 7.7139 5.4224 3.1279
O 6.9639 4.2631 5.1362
O 9.3926 5.2840 0.5219
```

Summary:
Space group ... P2_1/c (14)
E_form (uncorrected) ... -2757 meV/atom


Record 4
Density functional theory data (PBE) for a relaxed structure of PrSm2Ag.

```
4
Lattice="3.7125 0.0000 0.0000 0.0000 3.7125 0.0000 0.0000 0.0000 8.8200" Properties=species:S:1:pos:R:3 pbc="T T T"
Pr 0.0000 0.0000 0.0000
Sm 1.8562 1.8562 2.5632
Sm 1.8562 1.8562 6.2568
Ag 0.0000 0.0000 4.4100
```

Summary:
DFT formation energy ... -116 meV per atom
Space group ... P4/mmm (123)
Distance to the lowest polymorph of the same formula ... 0.0000 eV per atom


Results for D(E_F): 9.0, 4.8, 0.0, 6.0 (in states/eV/cell, following the order of the records).